(1)
An optimized crystal structure of Ta2Ti2Hg. Source: Alexandria via LeMat-Bulk, functional GGA-PBE.

a = 7.2327 Å, b = 7.2327 Å, c = 2.9038 Å
α = 93.79°, β = 93.79°, γ = 37.18°
Closest atoms and distances in Å follow each position.
Fractional coordinates of all 5 atoms:
Ta  0.2101  0.2101  0.3318  4 Ta 2.71-2.90, 3 Ti 2.74-2.88, 1 Hg 2.95
Ta  0.7899  0.7899  0.6682  4 Ta 2.71-2.90, 3 Ti 2.74-2.88, 1 Hg 2.95
Ti  0.3950  0.3950  0.0318  3 Ta 2.74-2.88, 3 Ti 2.90, 2 Hg 2.99
Ti  0.6050  0.6050  0.9682  3 Ta 2.74-2.88, 3 Ti 2.90, 2 Hg 2.99
Hg  0.0000  0.0000  0.5000  2 Hg 2.90, 2 Ta 2.95, 8 Ti 2.99-3.18

* ΔH_f (0 K): 0.065 eV/atom
* space-group type: C2/m, No. 12
* magnetic moment: 0.0 μB/cell

***

(2)
An optimized crystal structure of CeHoGa. Source: Alexandria via LeMat-Bulk, functional GGA-PBE.

a = 8.4799 Å, b = 8.4799 Å, c = 8.4799 Å
α = 32.58°, β = 32.58°, γ = 32.58°
Closest atoms and distances in Å follow each position.
Fractional coordinates of all 6 atoms:
Ce  0.1428  0.1428  0.1428  3 Ce 2.98, 3 Ga 3.04
Ce  0.8572  0.8572  0.8572  3 Ce 2.98, 3 Ga 3.04
Ho  0.2903  0.2903  0.2903  4 Ga 2.96-3.17
Ho  0.7097  0.7097  0.7097  4 Ga 2.96-3.17
Ga  0.4220  0.4220  0.4220  4 Ho 2.96-3.17, 3 Ce 3.04
Ga  0.5780  0.5780  0.5780  4 Ho 2.96-3.17, 3 Ce 3.04

* ΔH_f (0 K): -0.263 eV/atom
* space-group type: R-3m, No. 166
* magnetic moment: 1.2 μB/cell

***

Number 1: raw total energy -39.5 eV per cell, ΔE to the lowest computed polymorph 0 meV per atom, ρ 11.9 Mg/m³. Number 2: raw total energy -28.7 eV per cell, ΔE to the lowest computed polymorph 28 meV per atom, ρ 7.9 Mg/m³.